Density functional theory data (GGA-PBE) for a relaxed structure of Sn3TeSe2.

Calculated values
calculated total energy	-3.988	eV per atom
symmetry	Cmc2_1, No. 36
E above lowest polymorph	68	meV per atom
total magnetization	0.000	μB per atom

abc: 6.386 8.418 8.418
angles: 93.59 90.00 90.00
Fractional positions:
Sn  0.963  0.837  0.489
Sn  0.463  0.511  0.163
Sn  0.963  0.489  0.837
Sn  0.463  0.163  0.511
Sn  0.496  0.830  0.830
Sn  0.996  0.170  0.170
Te  0.010  0.840  0.840
Te  0.510  0.160  0.160
Se  0.513  0.837  0.502
Se  0.013  0.498  0.163
Se  0.513  0.502  0.837
Se  0.013  0.163  0.498